First-principles (PBE) data for crystalline NaCu3PtSe4 at its relaxed geometry, as listed in OQMD.

The space group is P-43m (No. 215) and the conventional cell measures 5.902, 5.902 and 5.902 Å, with angles of 90.00, 90.00 and 90.00 degrees. Symmetry generates all atoms from Na at (0.000, 0.000, 0.000), Cu at (0.000, 0.500, 0.500), Pt at (0.500, 0.500, 0.500) and Se at (0.261, 0.261, 0.261).

The calculated total energy is -33.6 eV/cell. The volume comes out at 205.6 Å³/f.u. The value obtained for the total magnetic moment is 0.00 μB per formula unit.